The following is a DFT calculation (GGA-PBE) of an optimized crystal structure of CuNiP2.

DFT formation energy (kJ per mole of atoms): 17.68

Lattice parameters (Å, degrees): 4.713 4.713 4.713 135.67 135.67 64.50
Positions (direct):
Cu 0.000 0.000 0.000
Ni 0.250 0.750 0.500
P 0.500 0.500 0.000
P 0.750 0.250 0.500